Computed, not measured: Cr4TcW after structural relaxation at the GGA-PBE level of DFT.

extended XYZ file:
```
6
Lattice="4.783 0.000 0.000 2.392 4.142 0.000 2.392 1.381 3.905" Properties=species:S:1:pos:R:3 pbc="T T T"
Cr 3.581 3.456 2.444
Cr 5.986 3.456 2.444
Cr 4.783 1.373 2.444
Cr 4.783 2.762 0.480
Tc 2.392 1.381 0.976
W 0.000 0.000 0.000
```

Properties
calculated formation energy = 0.059 eV/atom
symmetry = No. 216